# 1
## LiPI2O (SCAN)

Data for LiPI2O at its PBEsol-relaxed geometry.

Output
Uncorrected formation energy in eV/atom: -0.5650
Electronic total energy in eV per atom: -19.07

Lattice parameters (Å, degrees): 3.579 5.579 5.579 90.00 90.00 90.00
Fractional coordinates of all 5 atoms:
I: 0.000 0.000 0.500
I: 0.000 0.500 0.000
P: 0.000 0.000 0.000
O: 0.500 0.000 0.000
Li: 0.500 0.500 0.500

# 2
## BiRuW3 (SCAN)

Data for BiRuW3 at its PBEsol-relaxed geometry.

Output
Electronic total energy in eV per atom: -60.75
Energy of formation in eV per atom: 3.741

Lattice parameters (Å, degrees): 4.864 4.864 4.864 90.00 90.00 90.00
Last column: magnetic moment on the atom in μB.
Fractional coordinates of all 5 atoms:
Ru: 0.500 0.500 0.500  2.46
Bi: 0.000 0.000 0.000  0.01
W: 0.000 0.500 0.000  -0.12
W: 0.000 0.000 0.500  -0.12
W: 0.500 0.000 0.000  -0.12

# 3
## CdCuPt (SCAN)

Data for CdCuPt at its PBEsol-relaxed geometry.

Output
ΔE to the lowest computed polymorph in meV/atom: 0
Electronic total energy in eV per atom: -38.79
Energy of formation in eV per atom: -0.186

Lattice parameters (Å, degrees): 2.854 3.723 4.876 112.45 107.02 90.00
Fractional coordinates of all 3 atoms:
Pt: 0.323 0.323 0.647
Cu: 0.675 0.675 0.350
Cd: 0.002 0.002 0.004

# 4
## NaScP2O7 (SCAN)

Data for NaScP2O7 at its PBEsol-relaxed geometry.

Output
Uncorrected formation energy in eV/atom: -2.9017
Electronic total energy in eV per atom: -10.44

Lattice parameters (Å, degrees): 5.303 8.890 12.443 104.39 90.00 90.00
Fractional coordinates of all 44 atoms:
Na: 0.731 0.856 0.310
Na: 0.769 0.356 0.810
Na: 0.269 0.144 0.690
Na: 0.231 0.644 0.190
Sc: 0.762 0.766 0.028
Sc: 0.738 0.266 0.528
Sc: 0.238 0.234 0.972
Sc: 0.262 0.734 0.472
P: 0.723 0.437 0.116
P: 0.777 0.937 0.616
P: 0.277 0.563 0.884
P: 0.223 0.063 0.384
P: 0.755 0.020 0.853
P: 0.745 0.520 0.353
P: 0.245 0.980 0.147
P: 0.255 0.480 0.647
O: 0.991 0.900 0.154
O: 0.509 0.400 0.654
O: 0.009 0.100 0.846
O: 0.491 0.600 0.346
O: 0.461 0.862 0.134
O: 0.039 0.362 0.634
O: 0.539 0.138 0.866
O: 0.961 0.638 0.366
O: 0.747 0.923 0.937
O: 0.753 0.423 0.437
O: 0.253 0.077 0.063
O: 0.247 0.577 0.563
O: 0.773 0.612 0.135
O: 0.727 0.112 0.635
O: 0.227 0.388 0.865
O: 0.273 0.888 0.365
O: 0.718 0.898 0.734
O: 0.782 0.398 0.234
O: 0.282 0.102 0.266
O: 0.218 0.602 0.766
O: 0.904 0.337 0.035
O: 0.596 0.837 0.535
O: 0.096 0.663 0.965
O: 0.404 0.163 0.465
O: 0.446 0.400 0.087
O: 0.054 0.900 0.587
O: 0.554 0.600 0.913
O: 0.946 0.100 0.413

# 5
## P2PbSe (SCAN)

Data for P2PbSe at its PBEsol-relaxed geometry.

Output
Uncorrected formation energy in eV/atom: 0.5448
ΔE to the lowest computed polymorph in meV/atom: 204
Electronic total energy in eV per atom: -28.62

Lattice parameters (Å, degrees): 3.428 4.138 5.910 90.00 90.00 90.00
Fractional coordinates of all 4 atoms:
P: 0.000 0.000 0.681
P: 0.000 0.000 0.319
Pb: 0.500 0.500 0.000
Se: 0.500 0.500 0.500

# 6
## HfTc2Mo (SCAN)

Data for HfTc2Mo at its PBEsol-relaxed geometry.

Output
Electronic total energy in eV per atom: -42.30
Energy of formation in eV per atom: -0.381

Lattice parameters (Å, degrees): 4.449 4.449 4.449 60.00 60.00 60.00
Fractional coordinates of all 4 atoms:
Mo: 0.000 0.000 0.000
Hf: 0.500 0.500 0.500
Tc: 0.250 0.250 0.250
Tc: 0.750 0.750 0.750

# 7
## Hg3TeCl4 (SCAN)

Data for Hg3TeCl4 at its PBEsol-relaxed geometry.

Output
Uncorrected formation energy in eV/atom: -0.5985
Electronic total energy in eV per atom: -34.81

Lattice parameters (Å, degrees): 11.483 12.079 12.688 90.00 90.00 90.00
Fractional coordinates of all 64 atoms:
Hg: 0.580 0.092 0.184
Hg: 0.312 0.318 0.228
Hg: 0.188 0.682 0.728
Hg: 0.688 0.818 0.272
Hg: 0.188 0.818 0.228
Hg: 0.688 0.682 0.772
Hg: 0.812 0.318 0.272
Hg: 0.312 0.182 0.728
Hg: 0.812 0.182 0.772
Hg: 0.080 0.408 0.816
Hg: 0.420 0.592 0.316
Hg: 0.920 0.908 0.684
Hg: 0.420 0.908 0.816
Hg: 0.920 0.592 0.184
Hg: 0.580 0.408 0.684
Hg: 0.080 0.092 0.316
Hg: 0.220 0.082 0.015
Hg: 0.720 0.418 0.985
Hg: 0.780 0.582 0.485
Hg: 0.280 0.918 0.515
Hg: 0.780 0.918 0.985
Hg: 0.280 0.582 0.015
Hg: 0.220 0.418 0.515
Hg: 0.720 0.082 0.485
Te: 0.415 0.108 0.903
Te: 0.915 0.392 0.097
Te: 0.585 0.608 0.597
Te: 0.085 0.892 0.403
Te: 0.585 0.892 0.097
Te: 0.085 0.608 0.903
Te: 0.415 0.392 0.403
Te: 0.915 0.108 0.597
Cl: 0.320 0.097 0.222
Cl: 0.820 0.403 0.778
Cl: 0.680 0.597 0.278
Cl: 0.180 0.903 0.722
Cl: 0.680 0.903 0.778
Cl: 0.180 0.597 0.222
Cl: 0.320 0.403 0.722
Cl: 0.820 0.097 0.278
Cl: 0.036 0.087 0.103
Cl: 0.536 0.413 0.897
Cl: 0.964 0.587 0.397
Cl: 0.464 0.913 0.603
Cl: 0.964 0.913 0.897
Cl: 0.464 0.587 0.103
Cl: 0.036 0.413 0.603
Cl: 0.582 0.207 0.677
Cl: 0.749 0.159 0.953
Cl: 0.249 0.341 0.047
Cl: 0.251 0.659 0.547
Cl: 0.751 0.841 0.453
Cl: 0.251 0.841 0.047
Cl: 0.751 0.659 0.953
Cl: 0.749 0.341 0.453
Cl: 0.249 0.159 0.547
Cl: 0.082 0.207 0.823
Cl: 0.582 0.293 0.177
Cl: 0.918 0.707 0.677
Cl: 0.418 0.793 0.323
Cl: 0.918 0.793 0.177
Cl: 0.418 0.707 0.823
Cl: 0.082 0.293 0.323
Cl: 0.536 0.087 0.397

# 8
## TaSi2 (SCAN)

Data for TaSi2 at its PBEsol-relaxed geometry.

Output
Uncorrected formation energy in eV/atom: -0.2080
Electronic total energy in eV per atom: -29.08

Lattice parameters (Å, degrees): 3.311 4.817 6.535 109.63 90.00 110.10
Fractional coordinates of all 6 atoms:
Si: 0.970 0.940 0.683
Si: 0.650 0.299 0.037
Si: 0.350 0.701 0.963
Si: 0.030 0.060 0.317
Ta: 0.321 0.642 0.355
Ta: 0.679 0.358 0.645

# 9
## TaAsOF2 (SCAN)

Data for TaAsOF2 at its PBEsol-relaxed geometry.

Output
Uncorrected formation energy in eV/atom: -1.4586
Electronic total energy in eV per atom: -21.48

Lattice parameters (Å, degrees): 3.915 4.190 4.190 90.00 90.00 90.00
Last column: magnetic moment on the atom in μB.
Fractional coordinates of all 5 atoms:
As: 0.500 0.500 0.500  1.17
F: 0.000 0.000 0.500  0.08
F: 0.000 0.500 0.000  0.08
O: 0.500 0.000 0.000  0.16
Ta: 0.000 0.000 0.000  -0.57

# 10
## Ba2Sb2Br (SCAN)

Data for Ba2Sb2Br at its PBEsol-relaxed geometry.

Output
Uncorrected formation energy in eV/atom: -1.0733
Electronic total energy in eV per atom: -35.69

Lattice parameters (Å, degrees): 6.442 6.783 6.442 61.65 90.00 118.35
Last column: magnetic moment on the atom in μB.
Fractional coordinates of all 5 atoms:
Sb: 0.636 0.272 0.364  0.17
Sb: 0.364 0.728 0.636  0.17
Ba: 0.750 0.500 0.750  0.06
Ba: 0.250 0.500 0.250  0.06
Br: 0.000 0.000 0.000  0.00

# 11
## CaCr2Tc (SCAN)

Data for CaCr2Tc at its PBEsol-relaxed geometry.

Output
ΔE to the lowest computed polymorph in meV/atom: 0
Electronic total energy in eV per atom: -19.74
Energy of formation in eV per atom: 0.635

Lattice parameters (Å, degrees): 4.403 4.403 4.403 60.00 60.00 60.00
Last column: magnetic moment on the atom in μB.
Fractional coordinates of all 4 atoms:
Cr: 0.750 0.750 0.750  2.21
Cr: 0.250 0.250 0.250  2.21
Ca: 0.000 0.000 0.000  0.07
Tc: 0.500 0.500 0.500  -1.62

# 12
## Mn2ReSb (SCAN)

Data for Mn2ReSb at its PBEsol-relaxed geometry.

Output
Uncorrected formation energy in eV/atom: 0.1796
Electronic total energy in eV per atom: -36.04

Lattice parameters (Å, degrees): 2.959 4.564 4.616 100.96 90.00 108.91
Last column: magnetic moment on the atom in μB.
Fractional coordinates of all 4 atoms:
Mn: 0.993 0.986 0.981  2.93
Mn: 0.248 0.497 0.743  2.54
Re: 0.511 0.022 0.547  -0.35
Sb: 0.748 0.496 0.230  -0.06

Question: The lowest electronic total energy belongs to which entry?
Answer: BiRuW3